# Y3ScP | Alexandria | PBEsol | relaxed
data_Y3ScP
_chemical_formula_sum 'Y3 Sc1 P1'
_space_group_name_H-M_alt 'P m -3 m'
_space_group_IT_number 221
_space_group_name_Hall '-P 4 2 3'
_cell_length_a 5.270
_cell_length_b 5.270
_cell_length_c 5.270
_cell_angle_alpha 90.00
_cell_angle_beta 90.00
_cell_angle_gamma 90.00
loop_
_atom_site_label
_atom_site_type_symbol
_atom_site_fract_x
_atom_site_fract_y
_atom_site_fract_z
Y1 Y 0.000 0.000 0.500
Sc1 Sc 0.500 0.500 0.500
P1 P 0.000 0.000 0.000
# **DFT total energy**: -6.96 eV per atom
# **ΔE_f**: -386 meV/atom
# **Magnetization**: 0.233 μB/f.u.
# **V**: 146.4 Å³/f.u.